Entry from Alexandria: BaSbW2 after structural relaxation (PBE).

## Properties
N(E_F): 0.92 states/eV per atom
Formation energy from raw total energies: 4.08 eV per formula unit
Space-group type: P2/m, No. 10
Total moment: 0.00 μB/atom

POSCAR file:
```
BaSbW2
1.0
-4.361 2.419 1.517
-1.614 -1.715 -1.905
-0.792 -4.344 4.652
Ba Sb W
1 1 2
direct
0.500 0.250 0.250
0.500 0.750 0.750
0.000 0.890 0.923
0.000 0.610 0.577
```